*1*
VASP calculation (PBE-GGA) on a relaxed LuCoCuAs crystal.

a b c (Å): 4.5100 4.5100 4.5100
angles (deg): 60.00 60.00 60.00
Element x y z (fractional)
1 Lu 0.0000 0.0000 0.0000
2 Co 0.2500 0.2500 0.2500
3 Cu 0.5000 0.5000 0.5000
4 As 0.7500 0.7500 0.7500

Summary:
The space group is No. 216.

=====

*2*
VASP calculation (PBE-GGA) on a relaxed LuCoCuAs crystal.

a b c (Å): 4.4487 4.4487 4.4487
angles (deg): 60.00 60.00 60.00
Element x y z (fractional)
1 Lu 0.0000 0.0000 0.0000
2 Co 0.5000 0.5000 0.5000
3 Cu 0.7500 0.7500 0.7500
4 As 0.2500 0.2500 0.2500

Summary:
The space group is No. 216.

=====

Comparing the structures above, *2* comes out on top by 0.168 eV/atom.